{
  "formula": "RbMg2Cd2Pb2",
  "functional": "PBE",
  "state": "optimized geometry",
  "cell": [[-3.1800, -1.7038, -3.5420], [-3.5991, -3.3324, 1.2259], [-8.4407, 5.7278, 1.2145]],
  "species": ["Rb", "Mg", "Mg", "Cd", "Cd", "Pb", "Pb"],
  "frac_coords": [[0.0000, 0.0000, 0.0000], [0.1420, 0.1420, 0.5741], [0.8580, 0.8580, 0.4259], [0.5516, 0.5516, 0.3453], [0.4484, 0.4484, 0.6547], [0.7519, 0.7519, 0.7444], [0.2481, 0.2481, 0.2556]],
  "e_tot_ev_per_atom": -2.02,
  "dos_ef_per_ev_cell": 3.030,
  "sg": "R-3m, No. 166",
  "m_tot_mub_per_cell": 0.000
}